Below is crystalline SrSn4 at its relaxed geometry, with properties calculated at the PBE level.

Cell lengths 11.094, 11.094, 5.993 Å; angles 90.00, 90.00, 90.00 degrees
Fractional coordinates of all 20 atoms:
1 Sr 0.129 0.371 0.000
2 Sr 0.371 0.871 0.000
3 Sr 0.629 0.129 0.000
4 Sr 0.871 0.629 0.000
5 Sn 0.000 0.000 0.235
6 Sn 0.000 0.000 0.765
7 Sn 0.099 0.599 0.500
8 Sn 0.103 0.208 0.500
9 Sn 0.208 0.897 0.500
10 Sn 0.292 0.397 0.500
11 Sn 0.397 0.708 0.500
12 Sn 0.401 0.099 0.500
13 Sn 0.500 0.500 0.235
14 Sn 0.500 0.500 0.765
15 Sn 0.599 0.901 0.500
16 Sn 0.603 0.292 0.500
17 Sn 0.708 0.603 0.500
18 Sn 0.792 0.103 0.500
19 Sn 0.897 0.792 0.500
20 Sn 0.901 0.401 0.500

Spin magnetization   0.00 μB/f.u.

=====

Below is crystalline TaRe3B at its relaxed geometry, with properties calculated at the PBE level.

Cell lengths 4.786, 4.786, 4.786 Å; angles 90.00, 90.00, 90.00 degrees
Fractional coordinates of all 5 atoms:
1 Ta 0.000 0.000 0.000
2 Re 0.000 0.000 0.500
3 Re 0.000 0.500 0.000
4 Re 0.500 0.000 0.000
5 B 0.500 0.500 0.500

Spin magnetization   3.10 μB/f.u.

=====

| no. | DFT total energy (eV per cell) | formation enthalpy at 0 K (eV/atom) |
| --- | --- | --- |
| 1 | -71.761 | -0.05 |
| 2 | -39.341 | 3.31 |